The following is a DFT calculation (PBE-GGA) of NaPCCl2 after structural relaxation.

Lattice parameters (Å, degrees): 5.0616 5.0616 5.6483 90.00 90.00 90.00
Space group P4/mmm (No. 123)
Unique sites:
Na 0.0000 0.0000 0.0000 (multiplicity 1)
P 0.0000 0.0000 0.5000 (multiplicity 1)
C 0.5000 0.5000 0.5000 (multiplicity 1)
Cl 0.0000 0.5000 0.0000 (multiplicity 2)

Calculated values
Formation energy (no corrections)   840 kJ/mol of formula units
E_tot   -10.94 eV/cell
Crystal system   tetragonal
Calculated volume   145 Å³/cell
Excess energy over the best structure of this formula in the dataset   1378 meV/atom

The following is a DFT calculation (PBE-GGA) of NaPCCl2 after structural relaxation.

Lattice parameters (Å, degrees): 5.4136 5.4136 3.4859 90.00 90.00 90.00
Space group P4/mmm (No. 123)
Unique sites:
Na 0.0000 0.0000 0.0000 (multiplicity 1)
P 0.5000 0.5000 0.0000 (multiplicity 1)
C 0.5000 0.5000 0.5000 (multiplicity 1)
Cl 0.0000 0.5000 0.5000 (multiplicity 2)

Calculated values
Formation energy (no corrections)   175 kJ/mol of formula units
E_tot   -17.84 eV/cell
Crystal system   tetragonal
Calculated volume   102 Å³/cell
Excess energy over the best structure of this formula in the dataset   0 meV/atom

The following is a DFT calculation (PBE-GGA) of NaCSCl2 after structural relaxation.

Lattice parameters (Å, degrees): 5.2362 5.2362 3.6530 90.00 90.00 90.00
Space group P4/mmm (No. 123)
Unique sites:
Na 0.0000 0.0000 0.0000 (multiplicity 1)
C 0.5000 0.5000 0.5000 (multiplicity 1)
S 0.5000 0.5000 0.0000 (multiplicity 1)
Cl 0.0000 0.5000 0.5000 (multiplicity 2)

Calculated values
Formation energy (no corrections)   151 kJ/mol of formula units
E_tot   -16.80 eV/cell
Crystal system   tetragonal
Calculated volume   100 Å³/cell
Excess energy over the best structure of this formula in the dataset   0 meV/atom

The following is a DFT calculation (PBE-GGA) of NaCSCl2 after structural relaxation.

Lattice parameters (Å, degrees): 5.0124 5.0124 5.3306 90.00 90.00 90.00
Space group P4/mmm (No. 123)
Unique sites:
Na 0.0000 0.0000 0.0000 (multiplicity 1)
C 0.5000 0.5000 0.5000 (multiplicity 1)
S 0.0000 0.0000 0.5000 (multiplicity 1)
Cl 0.0000 0.5000 0.0000 (multiplicity 2)

Calculated values
Formation energy (no corrections)   788 kJ/mol of formula units
E_tot   -10.20 eV/cell
Crystal system   tetragonal
Calculated volume   134 Å³/cell
Excess energy over the best structure of this formula in the dataset   1320 meV/atom

The following is a DFT calculation (PBE-GGA) of NaCS2Cl after structural relaxation.

Lattice parameters (Å, degrees): 3.8892 3.8892 8.0671 90.00 90.00 90.00
Space group P4/mmm (No. 123)
Unique sites:
Na 0.0000 0.0000 0.0000 (multiplicity 1)
C 0.5000 0.5000 0.5000 (multiplicity 1)
S 0.0000 0.5000 0.5000 (multiplicity 2)
Cl 0.5000 0.5000 0.0000 (multiplicity 1)

Calculated values
Formation energy (no corrections)   179 kJ/mol of formula units
E_tot   -18.79 eV/cell
Crystal system   tetragonal
Calculated volume   122 Å³/cell
Excess energy over the best structure of this formula in the dataset   0 meV/atom

The following is a DFT calculation (PBE-GGA) of NaCS2Cl after structural relaxation.

Lattice parameters (Å, degrees): 5.3280 5.3280 4.9854 90.00 90.00 90.00
Space group P4/mmm (No. 123)
Unique sites:
Na 0.0000 0.0000 0.0000 (multiplicity 1)
C 0.5000 0.5000 0.5000 (multiplicity 1)
S 0.0000 0.5000 0.0000 (multiplicity 2)
Cl 0.0000 0.0000 0.5000 (multiplicity 1)

Calculated values
Formation energy (no corrections)   913 kJ/mol of formula units
E_tot   -11.19 eV/cell
Crystal system   tetragonal
Calculated volume   142 Å³/cell
Excess energy over the best structure of this formula in the dataset   1520 meV/atom

The following is a DFT calculation (PBE-GGA) of NaScC2Cl after structural relaxation.

Lattice parameters (Å, degrees): 4.2368 4.2368 4.6692 90.00 90.00 90.00
Space group P4/mmm (No. 123)
Unique sites:
Na 0.0000 0.0000 0.0000 (multiplicity 1)
Sc 0.5000 0.5000 0.5000 (multiplicity 1)
C 0.0000 0.5000 0.0000 (multiplicity 2)
Cl 0.0000 0.0000 0.5000 (multiplicity 1)

Calculated values
Formation energy (no corrections)   897 kJ/mol of formula units
E_tot   -18.65 eV/cell
Crystal system   tetragonal
Calculated volume   84 Å³/cell

The following is a DFT calculation (PBE-GGA) of NaTiCCl2 after structural relaxation.

Lattice parameters (Å, degrees): 4.6333 4.6333 7.4602 90.00 90.00 90.00
Space group P4/mmm (No. 123)
Unique sites:
Na 0.0000 0.0000 0.0000 (multiplicity 1)
Ti 0.0000 0.0000 0.5000 (multiplicity 1)
C 0.5000 0.5000 0.0000 (multiplicity 1)
Cl 0.0000 0.5000 0.5000 (multiplicity 2)

Calculated values
Formation energy (no corrections)   306 kJ/mol of formula units
E_tot   -18.96 eV/cell
Crystal system   tetragonal
Calculated volume   160 Å³/cell

The following is a DFT calculation (PBE-GGA) of Na2TiCCl after structural relaxation.

Lattice parameters (Å, degrees): 6.0632 6.0632 3.7750 90.00 90.00 90.00
Space group P4/mmm (No. 123)
Unique sites:
Na 0.0000 0.5000 0.0000 (multiplicity 2)
Ti 0.0000 0.0000 0.0000 (multiplicity 1)
C 0.0000 0.0000 0.5000 (multiplicity 1)
Cl 0.5000 0.5000 0.5000 (multiplicity 1)

Calculated values
Formation energy (no corrections)   226 kJ/mol of formula units
E_tot   -19.26 eV/cell
Crystal system   tetragonal
Calculated volume   139 Å³/cell

The following is a DFT calculation (PBE-GGA) of NaW2CCl after structural relaxation.

Lattice parameters (Å, degrees): 4.0358 4.0358 7.1198 90.00 90.00 90.00
Space group P4/mmm (No. 123)
Unique sites:
Na 0.0000 0.0000 0.0000 (multiplicity 1)
W 0.0000 0.5000 0.5000 (multiplicity 2)
C 0.0000 0.0000 0.5000 (multiplicity 1)
Cl 0.5000 0.5000 0.0000 (multiplicity 1)

Calculated values
Formation energy (no corrections)   370 kJ/mol of formula units
E_tot   -34.46 eV/cell
Crystal system   tetragonal
Calculated volume   116 Å³/cell

The following is a DFT calculation (PBE-GGA) of NaW6CCl18 after structural relaxation.

Lattice parameters (Å, degrees): 9.3997 9.3997 17.9673 90.00 90.00 120.00
Space group P6_3/m (No. 176)
Unique sites:
Na 0.0000 0.0000 0.0000 (multiplicity 2)
W 0.1876 0.7007 0.1661 (multiplicity 12)
C 0.3333 0.6667 0.2500 (multiplicity 2)
Cl 0.0169 0.2539 0.6021 (multiplicity 12)
Cl 0.0434 0.4693 0.7500 (multiplicity 6)
Cl 0.0829 0.2927 0.2500 (multiplicity 6)
Cl 0.1119 0.4865 0.0752 (multiplicity 12)

Calculated values
Formation energy (no corrections)   -2218 kJ/mol of formula units
E_tot   -288.97 eV/cell
Crystal system   hexagonal
Calculated volume   1375 Å³/cell

The following is a DFT calculation (PBE-GGA) of Nb3CCl after structural relaxation.

Lattice parameters (Å, degrees): 4.3698 4.3698 4.3698 90.00 90.00 90.00
Space group Pm-3m (No. 221)
Unique sites:
Nb 0.0000 0.0000 0.5000 (multiplicity 3)
C 0.0000 0.0000 0.0000 (multiplicity 1)
Cl 0.5000 0.5000 0.5000 (multiplicity 1)

Calculated values
Formation energy (no corrections)   221 kJ/mol of formula units
E_tot   -38.99 eV/cell
Crystal system   cubic
Calculated volume   83 Å³/cell
Excess energy over the best structure of this formula in the dataset   0 meV/atom